Cr2PdPb: optimized geometry, PBE.

a b c (Å): 5.7473 5.7473 5.7473
angles (deg): 102.29 102.29 125.05
Closest atoms and distances in Å follow each position.
Fractional positions:
Cr 0.1034 0.6250 0.9784  2 Pd 2.53, 2 Cr 2.67, 2 Pb 2.74
Cr 0.3750 0.3534 0.4784  2 Pd 2.53, 2 Cr 2.67, 2 Pb 2.74
Cr 0.6466 0.1250 0.0216  2 Pd 2.53, 2 Cr 2.67, 2 Pb 2.74
Cr 0.8750 0.8966 0.5216  2 Pd 2.53, 2 Cr 2.67, 2 Pb 2.74
Pd 0.0000 0.0000 0.0000  4 Cr 2.53, 2 Pb 2.65
Pd 0.7500 0.2500 0.5000  4 Cr 2.53, 2 Pb 2.65
Pb 0.2500 0.7500 0.5000  2 Pd 2.65, 4 Cr 2.74
Pb 0.5000 0.5000 0.0000  2 Pd 2.65, 4 Cr 2.74

Calculated values
magnetization	0.00	μB per formula unit
E_form	1.01	eV/atom
SG	I-42d, No. 122
DOS(E_F)	3.0176	states/eV per atom


CrPd3Pb: optimized geometry, PBE.

a b c (Å): 5.0329 5.0329 5.0329
angles (deg): 90.00 90.00 90.00
Closest atoms and distances in Å follow each position.
Fractional positions:
Cr 0.0000 0.0000 0.0000  12 Pd 3.56
Pd 0.0000 0.5000 0.5000  2 Pb 2.52
Pd 0.5000 0.0000 0.5000  2 Pb 2.52
Pd 0.5000 0.5000 0.0000  2 Pb 2.52
Pb 0.5000 0.5000 0.5000  6 Pd 2.52

Calculated values
magnetization	4.62	μB per formula unit
E_form	0.96	eV/atom
SG	Pm-3m, No. 221
DOS(E_F)	0.9223	states/eV per atom


CrPd6Pb: optimized geometry, PBE.

a b c (Å): 4.0256 4.0256 7.9757
angles (deg): 90.00 90.00 90.00
Closest atoms and distances in Å follow each position.
Fractional positions:
Cr 0.0000 0.0000 0.0000  12 Pd 2.76-2.85
Pd 0.0000 0.5000 0.2364  2 Cr 2.76, 8 Pd 2.76-2.91, 2 Pb 2.91
Pd 0.0000 0.5000 0.7636  2 Cr 2.76, 8 Pd 2.76-2.91, 2 Pb 2.91
Pd 0.5000 0.0000 0.2364  2 Cr 2.76, 8 Pd 2.76-2.91, 2 Pb 2.91
Pd 0.5000 0.0000 0.7636  2 Cr 2.76, 8 Pd 2.76-2.91, 2 Pb 2.91
Pd 0.5000 0.5000 0.0000  8 Pd 2.76, 4 Cr 2.85
Pd 0.5000 0.5000 0.5000  4 Pb 2.85, 8 Pd 2.91
Pb 0.0000 0.0000 0.5000  12 Pd 2.85-2.91

Calculated values
magnetization	3.15	μB per formula unit
E_form	-0.16	eV/atom
SG	P4/mmm, No. 123
DOS(E_F)	1.1419	states/eV per atom


CrPd2Pb2: optimized geometry, PBE.

a b c (Å): 7.7066 7.7066 3.3467
angles (deg): 90.00 90.00 90.00
Closest atoms and distances in Å follow each position.
Fractional positions:
Cr 0.0000 0.0000 0.0000  4 Pb 2.89
Cr 0.5000 0.5000 0.0000  4 Pb 2.89
Pd 0.1369 0.3631 0.5000  6 Pb 2.75-2.86, 1 Pd 2.98
Pd 0.3631 0.8631 0.5000  6 Pb 2.75-2.86, 1 Pd 2.98
Pd 0.6369 0.1369 0.5000  6 Pb 2.75-2.86, 1 Pd 2.98
Pd 0.8631 0.6369 0.5000  6 Pb 2.75-2.86, 1 Pd 2.98
Pb 0.1629 0.6629 0.0000  6 Pd 2.75-2.86, 2 Cr 2.89
Pb 0.3371 0.1629 0.0000  6 Pd 2.75-2.86, 2 Cr 2.89
Pb 0.6629 0.8371 0.0000  6 Pd 2.75-2.86, 2 Cr 2.89
Pb 0.8371 0.3371 0.0000  6 Pd 2.75-2.86, 2 Cr 2.89

Calculated values
magnetization	0.00	μB per formula unit
E_form	0.49	eV/atom
SG	P4/mbm, No. 127
DOS(E_F)	1.3213	states/eV per atom


CrPd2Pb2: optimized geometry, PBE.

a b c (Å): 7.9565 7.9565 7.9565
angles (deg): 152.95 152.95 38.63
Closest atoms and distances in Å follow each position.
Fractional positions:
Cr 0.0000 0.0000 0.0000  8 Pb 3.06
Pd 0.2500 0.7500 0.5000  4 Pd 2.63, 4 Pb 2.87
Pd 0.7500 0.2500 0.5000  4 Pd 2.63, 4 Pb 2.87
Pb 0.3958 0.3958 0.0000  4 Pd 2.87, 4 Cr 3.06, 1 Pb 3.13
Pb 0.6042 0.6042 0.0000  4 Pd 2.87, 4 Cr 3.06, 1 Pb 3.13

Calculated values
magnetization	0.24	μB per formula unit
E_form	0.58	eV/atom
SG	I4/mmm, No. 139
DOS(E_F)	0.8998	states/eV per atom


CrPd12Pb3: optimized geometry, PBE.

a b c (Å): 4.0723 4.0723 16.1466
angles (deg): 90.00 90.00 90.00
Closest atoms and distances in Å follow each position.
Fractional positions:
Cr 0.0000 0.0000 0.0000  12 Pd 2.75-2.88
Pd 0.0000 0.5000 0.1149  2 Cr 2.75, 8 Pd 2.75-2.91, 2 Pb 2.90
Pd 0.0000 0.5000 0.3715  8 Pd 2.88-2.91, 4 Pb 2.91
Pd 0.0000 0.5000 0.6285  8 Pd 2.88-2.91, 4 Pb 2.91
Pd 0.0000 0.5000 0.8851  2 Cr 2.75, 8 Pd 2.75-2.91, 2 Pb 2.90
Pd 0.5000 0.0000 0.1149  2 Cr 2.75, 8 Pd 2.75-2.91, 2 Pb 2.90
Pd 0.5000 0.0000 0.3715  8 Pd 2.88-2.91, 4 Pb 2.91
Pd 0.5000 0.0000 0.6285  8 Pd 2.88-2.91, 4 Pb 2.91
Pd 0.5000 0.0000 0.8851  2 Cr 2.75, 8 Pd 2.75-2.91, 2 Pb 2.90
Pd 0.5000 0.5000 0.0000  8 Pd 2.75, 4 Cr 2.88
Pd 0.5000 0.5000 0.2439  4 Pb 2.88, 8 Pd 2.90-2.91
Pd 0.5000 0.5000 0.5000  4 Pb 2.88, 8 Pd 2.91
Pd 0.5000 0.5000 0.7561  4 Pb 2.88, 8 Pd 2.90-2.91
Pb 0.0000 0.0000 0.2431  12 Pd 2.88-2.91
Pb 0.0000 0.0000 0.5000  12 Pd 2.88-2.91
Pb 0.0000 0.0000 0.7569  12 Pd 2.88-2.91

Calculated values
magnetization	2.95	μB per formula unit
E_form	-0.22	eV/atom
SG	P4/mmm, No. 123
DOS(E_F)	0.7734	states/eV per atom


CrPd3Pb: optimized geometry, PBE.

a b c (Å): 4.6681 4.6681 4.6681
angles (deg): 90.00 90.00 90.00
Closest atoms and distances in Å follow each position.
Fractional positions:
Cr 0.0000 0.0000 0.0000  6 Pd 2.33
Pd 0.0000 0.0000 0.5000  2 Cr 2.33
Pd 0.0000 0.5000 0.0000  2 Cr 2.33
Pd 0.5000 0.0000 0.0000  2 Cr 2.33
Pb 0.5000 0.5000 0.5000  12 Pd 3.30

Calculated values
magnetization	0.00	μB per formula unit
E_form	0.64	eV/atom
SG	Pm-3m, No. 221
DOS(E_F)	1.0727	states/eV per atom


CrPd2Pb: optimized geometry, PBE.

a b c (Å): 4.2308 4.2308 3.9415
angles (deg): 90.00 90.00 90.00
Closest atoms and distances in Å follow each position.
Fractional positions:
Cr 0.0000 0.0000 0.0000  8 Pd 2.89, 4 Pb 2.99
Pd 0.0000 0.5000 0.5000  4 Pb 2.89, 4 Cr 2.89, 4 Pd 2.99
Pd 0.5000 0.0000 0.5000  4 Pb 2.89, 4 Cr 2.89, 4 Pd 2.99
Pb 0.5000 0.5000 0.0000  8 Pd 2.89, 4 Cr 2.99

Calculated values
magnetization	4.20	μB per formula unit
E_form	-0.03	eV/atom
SG	P4/mmm, No. 123
DOS(E_F)	0.5494	states/eV per atom


> Which value of E_form does entry 8 give?

-0.03 eV/atom